Entry 1:
Computed, not measured: an optimized crystal structure of AlV3H at the PBE level of DFT.

Lattice parameters (Å, degrees): 3.1542 7.9940 4.9916 99.35 71.57 101.38
Atoms (fractional coordinates):
V 0.4099 0.3180 0.4443
V 0.8997 0.0765 0.2232
V 0.9166 0.5530 0.6661
V 0.3882 0.7982 0.9682
V 0.1660 0.9474 0.5614
V 0.6548 0.6831 0.3200
Al 0.1643 0.4481 0.0659
Al 0.6569 0.1911 0.8235
H 0.9606 0.9062 0.9314
H 0.5914 0.8460 0.6091

Summary:
* raw total energy: -7.064 eV per atom
* total moment: 0.00 Bohr magnetons per cell

=====

Entry 2:
Computed, not measured: an optimized crystal structure of AlV3H at the PBE level of DFT.

Lattice parameters (Å, degrees): 3.8945 3.8945 3.8945 90.58 90.58 90.58
Atoms (fractional coordinates):
V 0.7213 0.7213 0.2412
V 0.7213 0.2412 0.7213
V 0.2412 0.7213 0.7213
Al 0.2341 0.2341 0.2341
H 0.9571 0.9571 0.9571

Summary:
* raw total energy: -6.952 eV per atom
* total moment: 0.00 Bohr magnetons per cell

=====

Entry 3:
Computed, not measured: an optimized crystal structure of AlV3H at the PBE level of DFT.

Lattice parameters (Å, degrees): 4.5823 6.9984 4.4876 90.00 60.56 90.00
Atoms (fractional coordinates):
H 0.7669 0.7500 0.1696
H 0.2331 0.2500 0.8304
V 0.1970 0.0760 0.1388
V 0.9014 0.2500 0.7500
V 0.8030 0.9240 0.8612
V 0.0986 0.7500 0.2500
V 0.1970 0.4240 0.1388
V 0.8030 0.5760 0.8612
Al 0.5772 0.2500 0.3981
Al 0.4228 0.7500 0.6019

Summary:
* raw total energy: -6.773 eV per atom
* total moment: 0.00 Bohr magnetons per cell

=====

Entry 4:
Computed, not measured: an optimized crystal structure of AlV3H at the PBE level of DFT.

Lattice parameters (Å, degrees): 5.1088 5.0804 5.1157 116.68 84.53 83.99
Atoms (fractional coordinates):
Al 0.4668 0.0404 0.6400
Al 0.9807 0.7676 0.3599
V 0.9529 0.2666 0.8831
V 0.7238 0.9040 0.0000
V 0.2225 0.6591 0.7757
V 0.7238 0.4040 0.4999
V 0.2251 0.1489 0.2243
V 0.4946 0.5414 0.1168
H 0.0454 0.3582 0.5937
H 0.4021 0.4499 0.4063

Summary:
* raw total energy: -7.072 eV per atom
* total moment: 0.00 Bohr magnetons per cell

=====

Entry 5:
Computed, not measured: an optimized crystal structure of AlV3H at the PBE level of DFT.

Lattice parameters (Å, degrees): 5.1171 5.3629 5.1020 58.01 84.72 79.11
Atoms (fractional coordinates):
Al 0.4534 0.0518 0.6002
Al 0.9718 0.7847 0.5986
V 0.7041 0.4336 0.0957
V 0.2141 0.6745 0.1162
V 0.7156 0.9138 0.0991
V 0.9447 0.2899 0.6116
V 0.4767 0.5616 0.5731
V 0.2053 0.1734 0.0742
H 0.5231 0.2724 0.9617
H 0.0289 0.3848 0.2289

Summary:
* raw total energy: -7.065 eV per atom
* total moment: 0.00 Bohr magnetons per cell

=====

Entry 6:
Computed, not measured: an optimized crystal structure of AlV3H at the PBE level of DFT.

Lattice parameters (Å, degrees): 7.1612 7.1612 4.8733 90.00 90.00 143.23
Atoms (fractional coordinates):
V 0.5985 0.9170 0.2500
V 0.0000 0.0000 0.5000
V 0.4015 0.0830 0.7500
V 0.0000 0.0000 0.0000
V 0.0830 0.4015 0.2500
V 0.9170 0.5985 0.7500
Al 0.1662 0.8338 0.2500
Al 0.8338 0.1662 0.7500
H 0.5503 0.4497 0.7500
H 0.4497 0.5503 0.2500

Summary:
* raw total energy: -6.280 eV per atom
* total moment: 0.05 Bohr magnetons per cell

=====

Entry 7:
Computed, not measured: an optimized crystal structure of Al2V6H at the PBE level of DFT.

Lattice parameters (Å, degrees): 5.1897 5.1900 8.3922 90.00 90.00 90.00
Atoms (fractional coordinates):
V 0.5001 0.4999 0.2510
V 0.0001 0.0001 0.7510
V 0.7381 0.2619 0.5000
V 0.7479 0.7479 0.5000
V 0.7521 0.2479 0.0000
V 0.7619 0.7619 0.0000
V 0.9999 0.9999 0.2490
V 0.4999 0.5001 0.7490
V 0.2619 0.7381 0.5000
V 0.2381 0.2381 0.0000
V 0.2479 0.7521 0.0000
V 0.2521 0.2521 0.5000
H 0.5000 0.5000 0.0000
H 0.0000 0.0000 0.5000
Al 0.5001 0.0001 0.7500
Al 0.9999 0.5001 0.7500
Al 0.4999 0.9999 0.2500
Al 0.0001 0.4999 0.2500

Summary:
* raw total energy: -7.451 eV per atom
* total moment: 0.00 Bohr magnetons per cell

=====

Entry 8:
Computed, not measured: an optimized crystal structure of AlV3H at the PBE level of DFT.

Lattice parameters (Å, degrees): 4.8593 4.8593 4.8593 90.83 90.83 90.83
Atoms (fractional coordinates):
H 0.7500 0.7500 0.7500
H 0.2500 0.2500 0.2500
Al 0.5000 0.5000 0.5000
Al 0.0000 0.0000 0.0000
V 0.5066 0.2500 0.9934
V 0.2500 0.9934 0.5066
V 0.9934 0.5066 0.2500
V 0.0066 0.4934 0.7500
V 0.4934 0.7500 0.0066
V 0.7500 0.0066 0.4934

Summary:
* raw total energy: -7.058 eV per atom
* total moment: 0.00 Bohr magnetons per cell

=====

Entry 9:
Computed, not measured: an optimized crystal structure of Al2V2H at the PBE level of DFT.

Lattice parameters (Å, degrees): 2.7077 4.6838 10.3125 90.00 90.00 106.80
Atoms (fractional coordinates):
V 0.2496 0.4991 0.0649
V 0.7504 0.5009 0.5649
V 0.9993 0.9987 0.4465
V 0.0007 0.0013 0.9465
Al 0.0273 0.0546 0.6912
Al 0.2924 0.5849 0.8042
Al 0.9727 0.9454 0.1912
Al 0.7076 0.4151 0.3042
H 0.3581 0.7163 0.4785
H 0.6419 0.2837 0.9785

Summary:
* raw total energy: -5.850 eV per atom
* total moment: 0.00 Bohr magnetons per cell

=====

Entry 10:
Computed, not measured: an optimized crystal structure of AlV6H3 at the PBE level of DFT.

Lattice parameters (Å, degrees): 5.2198 5.2198 5.3622 90.00 119.13 120.00
Atoms (fractional coordinates):
V 0.8191 0.3916 0.7212
V 0.8198 0.0707 0.2243
V 0.1536 0.7491 0.2243
V 0.2937 0.9021 0.7212
V 0.3296 0.4275 0.7212
V 0.4752 0.4045 0.2243
H 0.3416 0.6708 0.0124
H 0.6660 0.3330 0.9991
H 0.2893 0.1446 0.4339
Al 0.8122 0.9061 0.7182

Summary:
* raw total energy: -6.871 eV per atom
* total moment: 0.00 Bohr magnetons per cell

=====

Entry 11:
Computed, not measured: an optimized crystal structure of AlV3H at the PBE level of DFT.

Lattice parameters (Å, degrees): 2.4426 7.2846 7.2846 140.69 90.00 90.00
Atoms (fractional coordinates):
V 0.0000 0.2577 0.7423
V 0.5000 0.1569 0.3432
V 0.5000 0.6568 0.8431
Al 0.5000 0.0831 0.9169
H 0.0000 0.4736 0.5264

Summary:
* raw total energy: -6.258 eV per atom
* total moment: 0.00 Bohr magnetons per cell

=====

Entry 12:
Computed, not measured: an optimized crystal structure of Al5V5H2 at the PBE level of DFT.

Lattice parameters (Å, degrees): 3.4316 4.8977 9.4315 87.00 90.00 110.51
Atoms (fractional coordinates):
Al 0.6944 0.3889 0.1057
Al 0.5000 0.0000 0.5000
Al 0.7969 0.5937 0.3950
Al 0.3056 0.6111 0.8943
Al 0.2031 0.4063 0.6050
V 0.4031 0.8062 0.1899
V 0.5969 0.1938 0.8101
V 0.0951 0.1902 0.3124
V 0.9049 0.8098 0.6876
V 0.0000 0.0000 0.0000
H 0.0422 0.0844 0.8113
H 0.9578 0.9156 0.1887

Summary:
* raw total energy: -6.145 eV per atom
* total moment: 0.00 Bohr magnetons per cell

=====

Entry 13:
Computed, not measured: an optimized crystal structure of Al3V2H3 at the PBE level of DFT.

Lattice parameters (Å, degrees): 3.0974 5.1422 11.5411 90.00 90.00 107.53
Atoms (fractional coordinates):
V 0.2140 0.4281 0.0830
V 0.7860 0.5719 0.5830
V 0.2140 0.4281 0.4170
V 0.7860 0.5719 0.9170
Al 0.9366 0.8732 0.3870
Al 0.0634 0.1268 0.8870
Al 0.9366 0.8732 0.1130
Al 0.6112 0.2225 0.2500
Al 0.3888 0.7775 0.7500
Al 0.0634 0.1268 0.6130
H 0.3553 0.7107 0.5154
H 0.2391 0.4783 0.2500
H 0.6447 0.2893 0.0154
H 0.6447 0.2893 0.4846
H 0.3553 0.7107 0.9846
H 0.7609 0.5217 0.7500

Summary:
* raw total energy: -4.964 eV per atom
* total moment: 0.00 Bohr magnetons per cell

=====

Entry 14:
Computed, not measured: an optimized crystal structure of Al3VH at the PBE level of DFT.

Lattice parameters (Å, degrees): 4.9517 4.9517 4.9517 90.00 90.00 90.00
Atoms (fractional coordinates):
Al 0.0000 0.5000 0.0000
Al 0.5000 0.0000 0.0000
Al 0.0000 0.0000 0.5000
V 0.0000 0.0000 0.0000
H 0.5000 0.5000 0.5000

Summary:
* raw total energy: -3.599 eV per atom
* total moment: 4.69 Bohr magnetons per cell

=====

Entry 15:
Computed, not measured: an optimized crystal structure of AlV3H2 at the PBE level of DFT.

Lattice parameters (Å, degrees): 5.4979 5.4979 5.5213 60.14 60.14 60.00
Atoms (fractional coordinates):
V 0.2549 0.2549 0.7447
V 0.7451 0.7451 0.2553
V 0.7456 0.2549 0.7447
V 0.2549 0.7456 0.7447
V 0.2544 0.7451 0.2553
V 0.7451 0.2544 0.2553
Al 0.7584 0.7584 0.7248
Al 0.2416 0.2416 0.2752
H 0.0000 0.0000 0.0000
H 0.5000 0.0000 0.0000
H 0.5000 0.5000 0.0000
H 0.0000 0.5000 0.0000

Summary:
* raw total energy: -6.409 eV per atom
* total moment: 0.00 Bohr magnetons per cell

=====

Entry 16:
Computed, not measured: an optimized crystal structure of AlV3H3 at the PBE level of DFT.

Lattice parameters (Å, degrees): 5.0119 5.0119 5.0119 90.00 90.00 90.00
Atoms (fractional coordinates):
H 0.5000 0.7500 0.0000
H 0.0000 0.5000 0.2500
H 0.7500 0.0000 0.5000
H 0.2500 0.0000 0.5000
H 0.5000 0.2500 0.0000
H 0.0000 0.5000 0.7500
Al 0.0000 0.0000 0.0000
Al 0.5000 0.5000 0.5000
V 0.5000 0.0000 0.7500
V 0.0000 0.2500 0.5000
V 0.7500 0.5000 0.0000
V 0.0000 0.7500 0.5000
V 0.2500 0.5000 0.0000
V 0.5000 0.0000 0.2500

Summary:
* raw total energy: -6.144 eV per atom
* total moment: 0.00 Bohr magnetons per cell

=====

Entry 17:
Computed, not measured: an optimized crystal structure of AlV3H at the PBE level of DFT.

Lattice parameters (Å, degrees): 9.8543 7.0175 7.0175 82.20 125.05 54.95
Atoms (fractional coordinates):
V 0.6203 0.5795 0.5521
V 0.6048 0.3348 0.2786
V 0.0459 0.7689 0.6245
V 0.5459 0.8755 0.7311
V 0.3952 0.6652 0.7214
V 0.4541 0.1245 0.2689
V 0.3797 0.4205 0.4479
V 0.8797 0.0521 0.0795
V 0.1048 0.2214 0.1652
V 0.9541 0.2311 0.3755
V 0.8952 0.7786 0.8348
V 0.1203 0.9479 0.9205
Al 0.9738 0.4597 0.6640
Al 0.5262 0.1640 0.9597
Al 0.4738 0.8360 0.0403
Al 0.0262 0.5403 0.3360
H 0.2500 0.8101 0.3101
H 0.7500 0.4398 0.9398
H 0.2500 0.5602 0.0602
H 0.7500 0.1899 0.6899

Summary:
* raw total energy: -6.979 eV per atom
* total moment: 0.00 Bohr magnetons per cell

=====

Entry 18:
Computed, not measured: an optimized crystal structure of AlV3H at the PBE level of DFT.

Lattice parameters (Å, degrees): 2.9657 2.9657 16.4223 90.00 90.00 120.00
Atoms (fractional coordinates):
V 0.6667 0.3333 0.3670
V 0.3333 0.6667 0.6330
V 0.0000 0.0000 0.7500
V 0.0000 0.0000 0.2500
V 0.6667 0.3333 0.1330
V 0.3333 0.6667 0.8670
H 0.3333 0.6667 0.7500
H 0.6667 0.3333 0.2500
Al 0.0000 0.0000 0.5000
Al 0.0000 0.0000 0.0000

Summary:
* raw total energy: -6.731 eV per atom
* total moment: 3.57 Bohr magnetons per cell

=====

Entry 19:
Computed, not measured: an optimized crystal structure of AlV3H at the PBE level of DFT.

Lattice parameters (Å, degrees): 5.0507 5.0507 5.9589 64.93 64.93 90.00
Atoms (fractional coordinates):
V 0.1136 0.8689 0.2622
V 0.1311 0.8864 0.7378
V 0.3742 0.3742 0.2516
V 0.1311 0.3759 0.7378
V 0.6258 0.6258 0.7484
V 0.6241 0.8689 0.2622
H 0.0000 0.0000 0.0000
H 0.2500 0.7500 0.5000
Al 0.8881 0.3881 0.2239
Al 0.6119 0.1119 0.7761

Summary:
* raw total energy: -6.781 eV per atom
* total moment: 0.00 Bohr magnetons per cell

=====

Entry 20:
Computed, not measured: an optimized crystal structure of Y2AlVH at the PBE level of DFT.

Lattice parameters (Å, degrees): 5.0463 5.0463 3.7096 90.00 90.00 90.00
Atoms (fractional coordinates):
H 0.0000 0.0000 0.0000
Al 0.5000 0.5000 0.5000
Y 0.5000 0.0000 0.0000
Y 0.0000 0.5000 0.0000
V 0.0000 0.0000 0.5000

Summary:
* raw total energy: -5.992 eV per atom
* total moment: 2.84 Bohr magnetons per cell

=====

Entry 21:
Computed, not measured: an optimized crystal structure of AlV2ZnH at the PBE level of DFT.

Lattice parameters (Å, degrees): 3.7371 3.7371 4.1688 90.00 90.00 90.00
Atoms (fractional coordinates):
H 0.0000 0.0000 0.0000
V 0.5000 0.0000 0.0000
V 0.0000 0.5000 0.0000
Al 0.5000 0.5000 0.5000
Zn 0.0000 0.0000 0.5000

Summary:
* raw total energy: -5.390 eV per atom
* total moment: 0.00 Bohr magnetons per cell

=====

Entry 22:
Computed, not measured: an optimized crystal structure of ZrAlV2H at the PBE level of DFT.

Lattice parameters (Å, degrees): 3.9103 3.9103 4.4121 90.00 90.00 90.00
Atoms (fractional coordinates):
Zr 0.0000 0.0000 0.5000
Al 0.5000 0.5000 0.5000
V 0.5000 0.0000 0.0000
V 0.0000 0.5000 0.0000
H 0.0000 0.0000 0.0000

Summary:
* raw total energy: -6.922 eV per atom
* total moment: 0.00 Bohr magnetons per cell